DFT (PBE) results for crystalline AsPt2Se at its relaxed geometry.

## Properties
Formation energy from raw total energies: 220.5 meV per atom

a b c (Å): 5.2405 5.2405 5.2405
angles (deg): 143.99 124.31 68.12
Sites, in units of the cell vectors:
As (0.0000, 0.0000, 0.0000)
Pt (0.2481, 0.7481, 0.5000)
Pt (0.7519, 0.2519, 0.5000)
Se (0.5000, 0.5000, 0.0000)